Version a
# ZnGe3S

A relaxed ZnGe3S crystal (PBE-GGA, Alexandria).

The structure in extended XYZ format:
```
5
Lattice="4.836 0.000 0.000 0.000 4.836 0.000 0.000 0.000 4.836" Properties=species:S:1:pos:R:3 pbc="T T T"
S 2.418 2.418 2.418
Ge 0.000 2.418 0.000
Ge 0.000 0.000 2.418
Ge 2.418 0.000 0.000
Zn 0.000 0.000 0.000
```

Output
The density of states at the Fermi level is 5.7 states/eV/cell.

=====

Version b
# ZnGe3S

A relaxed ZnGe3S crystal (PBE-GGA, Alexandria).

The structure in extended XYZ format:
```
5
Lattice="-2.628 -2.095 -3.636 1.864 -4.426 1.202 -3.759 -0.731 3.138" Properties=species:S:1:pos:R:3 pbc="T T T"
S 0.000 0.000 0.000
Ge 0.932 -2.213 0.601
Ge -1.879 -0.365 1.569
Ge -1.314 -1.047 -1.818
Zn -2.261 -3.626 0.353
```

Output
The density of states at the Fermi level is 2.1 states/eV/cell.

=====

Of them, version a has the lowest stability.

=====

Version a
# ZnGeS3

A relaxed ZnGeS3 crystal (PBE-GGA, Alexandria).

The structure in extended XYZ format:
```
10
Lattice="-2.268 1.902 -1.983 -4.628 -3.284 2.143 -0.085 6.080 9.131" Properties=species:S:1:pos:R:3 pbc="T T T"
Zn -2.850 2.819 5.964
Zn -6.022 0.538 4.203
Ge -6.441 3.155 7.192
Ge -2.369 0.247 2.946
S -3.473 5.134 5.696
S -4.068 -0.832 3.854
S -2.823 0.792 0.787
S -4.902 3.379 8.848
S -5.315 2.534 5.309
S -1.681 2.154 3.989
```

=====

Version b
# ZnGeS3

A relaxed ZnGeS3 crystal (PBE-GGA, Alexandria).

The structure in extended XYZ format:
```
10
Lattice="3.578 0.000 0.000 -1.789 6.196 -0.591 0.000 0.140 10.647" Properties=species:S:1:pos:R:3 pbc="T T T"
Zn 1.789 2.033 9.340
Zn 0.000 4.303 0.716
Ge 1.789 5.291 7.375
Ge 0.000 1.045 2.681
S 0.000 4.536 6.195
S 1.789 1.800 3.861
S 1.789 4.430 9.463
S 0.000 1.906 0.593
S 0.000 1.326 7.934
S 1.789 5.010 2.122
```

=====

Of them, version b has the lowest stability.